Compound: Na2PbBr
Source: Alexandria
Functional: PBE
Structure: optimized geometry

Lattice parameters (Å, degrees): 3.828 3.828 10.262 79.25 79.25 60.00
Atoms (fractional coordinates):
Br1 0.500 0.500 0.500
Na1 0.104 0.104 0.689
Na2 0.896 0.896 0.311
Pb1 0.000 0.000 0.000

Calculated values
Energy above the lowest structure with this stoichiometry in eV/atom: 0.095
Uncorrected formation energy in eV per atom: -0.617
Symmetry: R-3m (166)
DFT total energy in eV/f.u.: -10.49

---

Compound: Tc2AgIrBr
Source: Alexandria
Functional: PBE
Structure: optimized geometry

Lattice parameters (Å, degrees): 4.575 4.635 4.575 90.00 90.00 90.00
Atoms (fractional coordinates):
Br1 0.000 0.000 0.000
Tc1 0.000 0.000 0.500
Tc2 0.500 0.000 0.000
Ag1 0.500 0.500 0.500
Ir1 0.000 0.500 0.000

Calculated values
Uncorrected formation energy in eV per atom: 1.671
Symmetry: P4/mmm (123)
DFT total energy in eV/f.u.: -25.76

---

Compound: AgSn2I
Source: Alexandria
Functional: PBE
Structure: optimized geometry

Lattice parameters (Å, degrees): 3.415 3.415 11.345 81.34 81.34 60.00
Atoms (fractional coordinates):
I1 0.000 0.000 0.000
Sn1 0.903 0.903 0.290
Sn2 0.097 0.097 0.710
Ag1 0.500 0.500 0.500

Calculated values
Energy above the lowest structure with this stoichiometry in eV/atom: 0.000
Uncorrected formation energy in eV per atom: 0.161
Symmetry: R-3m (166)
DFT total energy in eV/f.u.: -11.76

---

Compound: BSbAs2W
Source: Alexandria
Functional: PBE
Structure: optimized geometry

Lattice parameters (Å, degrees): 5.302 5.173 5.302 90.00 90.00 90.00
Atoms (fractional coordinates):
Sb1 0.000 0.000 0.000
B1 0.500 0.500 0.500
W1 0.000 0.500 0.000
As1 0.000 0.000 0.500
As2 0.500 0.000 0.000

Calculated values
Uncorrected formation energy in eV per atom: 2.535
Symmetry: P4/mmm (123)
DFT total energy in eV/f.u.: -20.37

---

Compound: YSc2In
Source: Alexandria
Functional: PBE
Structure: optimized geometry

Lattice parameters (Å, degrees): 3.480 9.768 6.337 89.99 74.06 89.98
Atoms (fractional coordinates):
Sc1 0.632 0.026 0.735
Sc2 0.632 0.474 0.735
Sc3 0.368 0.526 0.265
Sc4 0.368 0.974 0.265
In1 0.240 0.250 0.521
In2 0.760 0.750 0.479
Y1 0.967 0.250 0.067
Y2 0.033 0.750 0.933

Calculated values
Energy relative to the elements in eV/atom: -0.234
Symmetry: Cmcm (63)
DFT total energy in eV/f.u.: -22.80

---

Compound: TmZn6Ag6
Source: Alexandria
Functional: PBE
Structure: optimized geometry

Lattice parameters (Å, degrees): 5.197 7.032 7.032 82.51 68.31 68.31
Atoms (fractional coordinates):
Ag1 0.691 0.809 0.809
Ag2 0.000 0.655 0.345
Ag3 0.346 0.654 0.654
Ag4 0.654 0.346 0.346
Ag5 0.000 0.345 0.655
Ag6 0.309 0.191 0.191
Zn1 0.500 0.000 0.500
Zn2 0.500 0.500 0.000
Zn3 0.000 0.500 0.000
Zn4 0.000 0.000 0.500
Zn5 0.500 0.228 0.772
Zn6 0.500 0.772 0.228
Tm1 0.000 0.000 0.000

Calculated values
Energy relative to the elements in eV/atom: -0.143
Symmetry: Immm (71)
DFT total energy in eV/f.u.: -31.08

---

Compound: LiTl16Hg12
Source: Alexandria
Functional: PBE
Structure: optimized geometry

Lattice parameters (Å, degrees): 10.283 10.283 10.218 109.63 109.63 109.88
Atoms (fractional coordinates):
Tl1 0.020 0.020 0.660
Tl2 0.993 0.638 0.989
Tl3 0.314 0.722 0.316
Tl4 0.004 0.393 0.680
Tl5 0.998 0.998 0.998
Tl6 0.722 0.314 0.316
Tl7 0.404 0.679 0.002
Tl8 0.393 0.004 0.680
Tl9 0.365 0.365 0.363
Tl10 0.996 0.683 0.404
Tl11 0.683 0.996 0.404
Tl12 0.283 0.609 0.607
Tl13 0.325 0.325 0.698
Tl14 0.679 0.404 0.002
Tl15 0.609 0.283 0.607
Tl16 0.638 0.993 0.989
Hg1 0.985 0.168 0.346
Hg2 0.823 0.176 0.821
Hg3 0.377 0.004 0.193
Hg4 0.805 0.625 0.607
Hg5 0.383 0.206 0.019
Hg6 0.784 0.784 0.198
Hg7 0.651 0.651 0.830
Hg8 0.625 0.805 0.607
Hg9 0.176 0.823 0.821
Hg10 0.004 0.377 0.193
Hg11 0.206 0.383 0.019
Hg12 0.168 0.985 0.346
Li1 0.587 0.587 0.281

Calculated values
Energy relative to the elements in eV/atom: -0.020
Symmetry: Cm (8)
DFT total energy in eV/f.u.: -43.98

---

Compound: Ac3AlGe2Pd9
Source: Alexandria
Functional: PBE
Structure: optimized geometry

Lattice parameters (Å, degrees): 6.552 6.552 9.022 90.00 90.00 120.00
Atoms (fractional coordinates):
Ac1 0.667 0.333 0.323
Ac2 0.000 0.000 0.000
Ac3 0.333 0.667 0.677
Pd1 0.500 0.000 0.000
Pd2 0.000 0.500 0.000
Pd3 0.142 0.858 0.293
Pd4 0.717 0.858 0.293
Pd5 0.283 0.142 0.707
Pd6 0.858 0.717 0.707
Pd7 0.500 0.500 0.000
Pd8 0.142 0.283 0.293
Pd9 0.858 0.142 0.707
Ge1 0.667 0.333 0.817
Ge2 0.333 0.667 0.183
Al1 0.000 0.000 0.500

Calculated values
Energy relative to the elements in eV/atom: -0.671
Symmetry: P-3m1 (164)
DFT total energy in eV/f.u.: -82.11